Density functional theory data (PBE) for crystalline Sm5BN6 at its relaxed geometry.

formation energy (no corrections) = -0.96 eV per atom
energy = -7.646 eV/atom
space-group type = C2/m, No. 12
M_tot = 0.00 μB/f.u.

Structure (POSCAR):
```
Sm5BN6
1.0
2.944 -5.446 0.000
2.944 5.446 0.000
-1.078 0.000 6.137
Sm B N
5 1 6
direct
0.000 0.000 0.000 Sm
0.164 0.836 0.500 Sm
0.327 0.673 0.000 Sm
0.673 0.327 0.000 Sm
0.836 0.164 0.500 Sm
0.500 0.500 0.500 B
0.016 0.364 0.204 N
0.322 0.322 0.624 N
0.364 0.016 0.204 N
0.636 0.984 0.796 N
0.678 0.678 0.376 N
0.984 0.636 0.796 N
```